BaYTe2I after structural relaxation. Source: Alexandria via LeMat-Bulk, functional PBE.

- total magnetic moment (μB per cell) = 0.000
- space group = No. 123
- raw formation energy (meV per atom) = -148
- excess energy over the best structure of this formula in the dataset (eV per formula unit) = 5.970

```
BaYTe2I
1.0
6.413 0.000 0.000
0.000 6.413 0.000
0.000 0.000 6.188
Ba Y Te I
1 1 2 1
Direct
0.000 0.000 0.000
0.500 0.500 0.500
0.000 0.500 0.000
0.500 0.000 0.000
0.000 0.000 0.500
```